A PBEsol-optimized structure of LiHf2Si. Source: the Alexandria database, functional SCAN.

a b c (Å): 7.268 7.268 5.394
angles (deg): 90.00 90.00 90.00
Space group I-42d (No. 122)
One atom of each set of equivalent atoms:
Li: 0.000 0.000 0.000
Hf: 0.248 0.750 0.625
Si: 0.000 0.000 0.500

Values from the calculation:
formation energy without anion corrections = 0.191 eV per atom
magnetization = 0.0 μB/f.u.
calculated volume = 284.9 Å³/cell